(1)
# Ni2Pt3

A crystal of Ni2Pt3 relaxed with PBEsol (meta-GGA SCAN, Alexandria via LeMat-Bulk).

Cell and atoms, written as extended XYZ:
```
5
Lattice="-0.3935 1.0280 2.4570 -1.4100 -1.3845 1.8285 8.3953 -4.7947 4.8255" Properties=species:S:1:pos:R:3 pbc="T T T"
Ni 0.5508 -1.1489 3.5190
Pt 2.8926 -1.9347 2.7477
Pt 0.0000 0.0000 0.0000
Pt 3.6992 -3.2165 6.3633
Ni 6.0410 -4.0024 5.5920
```

Summary:
energy: -243.9 eV/f.u.
relative energy among the computed polymorphs: 0 meV per atom
D(E_F): 1.85 states/eV/f.u.
formation energy: -0.186 eV per atom



(2)
# Zn2Ir

A crystal of Zn2Ir relaxed with PBEsol (meta-GGA SCAN, Alexandria via LeMat-Bulk).

Cell and atoms, written as extended XYZ:
```
6
Lattice="2.9564 0.0000 0.0000 0.0000 4.1669 0.0000 -1.4782 0.0000 6.5690" Properties=species:S:1:pos:R:3 pbc="T T T"
Zn 1.4782 1.0417 3.5429
Zn 1.4782 3.1252 0.8203
Ir 0.0000 1.0417 1.3830
Zn 0.0000 1.0417 5.7487
Zn 0.0000 3.1252 3.0262
Ir 1.4782 3.1252 5.1860
```

Summary:
energy: -98.9 eV/f.u.
D(E_F): 0.60 states/eV/f.u.
formation energy: -0.273 eV per atom



(3)
# SnSeN2O

A crystal of SnSeN2O relaxed with PBEsol (meta-GGA SCAN, Alexandria via LeMat-Bulk).

Cell and atoms, written as extended XYZ:
```
5
Lattice="-2.3293 3.0798 -0.4878 -3.2134 -2.3201 0.6963 0.2602 0.8194 3.9312" Properties=species:S:1:pos:R:3 pbc="T T T"
O 0.0000 0.0000 0.0000
Sn -2.6412 0.7895 2.0699
Se -1.1646 1.5399 -0.2439
N 0.1301 0.4097 1.9656
N -1.6067 -1.1600 0.3481
```

Summary:
energy: -71.8 eV/f.u.
formation energy from raw total energies: 1.81 eV per atom
D(E_F): 1.98 states/eV/f.u.